1.
## Ba2SbBr (PBE-GGA)

Data for a relaxed structure of Ba2SbBr.

calculated volume = 44.61 Å³/atom
uncorrected formation energy = -566 kJ/mol of formula units
DFT total energy = -3.878 eV/atom

Cell lengths 4.9294, 4.9294, 25.4383 Å; angles 90.00, 90.00, 120.00 degrees
Space group R3m (No. 160, hexagonal axes)
Symmetry-distinct sites (fractional):
Ba 0.0000 0.0000 0.0000
Ba 0.0000 0.0000 0.1847
Sb 0.0000 0.0000 0.5926
Br 0.0000 0.0000 0.7638


2.
## Ho2Er3Te6 (PBE-GGA)

Data for a relaxed structure of Ho2Er3Te6.

calculated volume = 30.61 Å³/atom
uncorrected formation energy = -1438 kJ/mol of formula units
DOS(E_F) = 4.9 states/eV/f.u.
DFT total energy = -5.145 eV/atom
distance to the lowest polymorph of the same formula = 0 meV per atom

Cell lengths 7.4713, 12.8633, 7.4389 Å; angles 90.00, 109.62, 90.00 degrees
Space group C2/m (No. 12)
Symmetry-distinct sites (fractional):
Ho 0.0000 0.1637 0.0000
Er 0.0000 0.0000 0.5000
Er 0.0000 0.3293 0.5000
Te 0.2400 0.5000 0.7528
Te 0.2415 0.3387 0.2434


3.
## LiPrHo2In4 (PBE-GGA)

Data for a relaxed structure of LiPrHo2In4.

calculated volume = 26.24 Å³/atom
ΔH_f (0 K) = -0.41 eV per atom
DOS(E_F) = 4.2 states/eV/f.u.
DFT total energy = -3.758 eV/atom

Cell lengths 5.2413, 5.2413, 26.4689 Å; angles 90.00, 90.00, 120.00 degrees
Space group R-3m (No. 166, hexagonal axes)
Symmetry-distinct sites (fractional):
Li 0.0000 0.0000 0.0000
Pr 0.0000 0.0000 0.5000
Ho 0.0000 0.0000 0.2540
In 0.0000 0.0000 0.1204
In 0.0000 0.0000 0.3720


Q: Among the records above, which one has the highest calculated volume?
A: Ba2SbBr


Q: Among the records above, which one has the highest calculated volume?
A: Ba2SbBr